Computed, not measured: a relaxed structure of TeAsSe2Cl at the GGA-PBE level of DFT.

Cell lengths 5.068, 5.068, 4.949 Å; angles 90.00, 90.00, 90.00 degrees
Site moments in Bohr magnetons follow the coordinates.
Element x y z (fractional)
Cl (0.000, 0.000, 0.000)  0.05
Se (0.500, 0.000, 0.000)  0.13
As (0.000, 0.000, 0.500)  -0.01
Se (0.000, 0.500, 0.000)  0.13
Te (0.500, 0.500, 0.500)  0.00

## Properties
Spin magnetization in μB per formula unit: 0.4
Crystal system: tetragonal
Relative energy among the computed polymorphs in kJ/mol of formula units: 98
Uncorrected formation energy in meV/atom: 939